A plane-wave DFT calculation with GGA+U was carried out for crystalline V3Cr2Sb3O16 at its relaxed geometry.

POSCAR file:
```
V3Cr2Sb3O16
1.0
3.026 5.323 0.000
-3.026 5.323 0.000
0.000 0.005 9.131
O Sb V Cr
16 3 3 2
Direct
0.658 0.658 0.909
0.334 0.334 0.404
0.165 0.165 0.901
0.830 0.336 0.393
0.836 0.836 0.390
0.002 0.002 0.678
0.169 0.666 0.895
0.666 0.169 0.895
0.051 0.482 0.161
0.521 0.521 0.653
0.482 0.051 0.161
0.951 0.519 0.662
0.000 0.000 0.187
0.519 0.951 0.662
0.472 0.472 0.172
0.336 0.830 0.393
0.830 0.333 0.788
0.169 0.169 0.290
0.333 0.830 0.788
0.667 0.167 0.292
0.831 0.831 0.792
0.167 0.667 0.292
0.339 0.339 0.016
0.670 0.670 0.511
```

E   -7.035 eV per atom
Total magnetic moment   0.417 μB per atom
Space group   No. 8